# 1
{"formula": "Pm2Zn16In", "functional": "GGA-PBE", "state": "relaxed", "lattice": [[6.8410, 0.0263, 0.8005], [0.7154, 6.8035, 0.8005], [0.0291, 0.0263, 6.8876]], "species": ["Pm", "Pm", "Zn", "Zn", "Zn", "Zn", "Zn", "Zn", "Zn", "Zn", "Zn", "Zn", "Zn", "Zn", "Zn", "Zn", "Zn", "Zn", "In"], "fractional_positions": [[0.6608, 0.6608, 0.6608], [0.3356, 0.3356, 0.3356], [0.6985, 0.9999, 0.3022], [0.9999, 0.3022, 0.6985], [0.3022, 0.6985, 0.9999], [0.9999, 0.6985, 0.3022], [0.6985, 0.3022, 0.9999], [0.3022, 0.9999, 0.6985], [0.3494, 0.8358, 0.3494], [0.8358, 0.3494, 0.3494], [0.3494, 0.3494, 0.8358], [0.6459, 0.1697, 0.6459], [0.1697, 0.6459, 0.6459], [0.6459, 0.6459, 0.1697], [0.0055, 0.4887, 0.0055], [0.4887, 0.0055, 0.0055], [0.0055, 0.0055, 0.4887], [0.1051, 0.1051, 0.1051], [0.9015, 0.9015, 0.9015]], "dft_energy_ev_per_cell": -37.1, "delta_e_f_ev_per_atom": -0.237, "sg": "R3m", "density_g_cm3": 7.5}

=====

# 2
{"formula": "TaPOs2Ru", "functional": "GGA-PBE", "state": "relaxed", "lattice": [[4.2796, 0.0000, 0.0000], [0.0000, 4.5550, 0.0000], [0.0000, 0.0000, 4.2796]], "species": ["Ru", "Os", "Os", "P", "Ta"], "fractional_positions": [[0.5000, 0.5000, 0.5000], [0.0000, 0.0000, 0.5000], [0.5000, 0.0000, 0.0000], [0.0000, 0.0000, 0.0000], [0.0000, 0.5000, 0.0000]], "dft_energy_ev_per_cell": -45.0, "delta_e_f_ev_per_atom": 0.798, "sg": "P4/mmm", "density_g_cm3": 13.8}

=====

# 3
{"formula": "La2Pm6SmEr3", "functional": "GGA-PBE", "state": "relaxed", "lattice": [[-3.7882, 4.5556, 2.1354], [2.6798, -4.0220, 4.0381], [9.6626, 7.0599, -1.0197]], "species": ["La", "La", "Pm", "Pm", "Pm", "Pm", "Pm", "Pm", "Sm", "Er", "Er", "Er"], "fractional_positions": [[0.3333, 0.6667, 0.0000], [0.6667, 0.3333, 0.0000], [0.9144, 0.5817, 0.7438], [0.7529, 0.7529, 0.2561], [0.0856, 0.4183, 0.2562], [0.5817, 0.9144, 0.7438], [0.2471, 0.2471, 0.7439], [0.4183, 0.0856, 0.2562], [0.0000, 0.0000, 0.0000], [0.1664, 0.8336, 0.5000], [0.8336, 0.1664, 0.5000], [0.5000, 0.5000, 0.5000]], "dft_energy_ev_per_cell": -56.5, "delta_e_f_ev_per_atom": 0.021, "sg": "C2/m", "density_g_cm3": 7.4}